# LaSmMo2O8 PBE with a Hubbard U relaxed
data_LaSmMo2O8
_cell_length_a 5.3925
_cell_length_b 5.3925
_cell_length_c 11.4994
_cell_angle_alpha 90.00
_cell_angle_beta 90.00
_cell_angle_gamma 90.00
_symmetry_space_group_name_H-M 'I -4'
_symmetry_Int_Tables_number 82
loop_
_symmetry_equiv_pos_as_xyz
'x,y,z'
'y,-x,-z'
'-x,-y,z'
'-y,x,-z'
'x+1/2,y+1/2,z+1/2'
'y+1/2,-x+1/2,-z+1/2'
'-x+1/2,-y+1/2,z+1/2'
'-y+1/2,x+1/2,-z+1/2'
loop_
_atom_site_label
_atom_site_fract_x
_atom_site_fract_y
_atom_site_fract_z
La1 0.0000 0.0000 0.0000
Sm1 0.0000 0.5000 0.7500
Mo1 0.0000 0.0000 0.5000
Mo2 0.0000 0.5000 0.2500
O1 0.1614 0.2314 0.5862
O2 0.1783 0.7601 0.1615
# - total DFT energy (no corrections) (eV/cell) = -185.51